P) The following is a DFT calculation (PBE) of a relaxed LiTeRu crystal.

The space group is F-43m (No. 216) and the conventional cell measures 6.089, 6.089 and 6.089 Å, with angles of 90.00, 90.00 and 90.00 degrees. The distinct sites, in fractional coordinates, are Li at (0.000, 0.000, 0.000), Te at (0.000, 0.000, 0.500) and Ru at (0.250, 0.250, 0.250).

---

Q) The following is a DFT calculation (PBE) of a relaxed LiTeRu crystal.

The space group is P4/nmm (No. 129, origin choice 2) and the conventional cell measures 4.258, 4.258 and 6.240 Å, with angles of 90.00, 90.00 and 90.00 degrees. The distinct sites, in fractional coordinates, are Li at (0.250, 0.250, 0.209), Te at (0.250, 0.250, 0.748) and Ru at (0.250, 0.750, 0.500).

---

Order from most stable to least stable according to the calculation: Q), P)

---

P) The following is a DFT calculation (PBE) of a relaxed LiTi2Ru2 crystal.

The space group is P4/mbm (No. 127) and the conventional cell measures 7.296, 7.296 and 2.965 Å, with angles of 90.00, 90.00 and 90.00 degrees. The distinct sites, in fractional coordinates, are Li at (0.000, 0.000, 0.000), Ti at (0.145, 0.355, 0.000) and Ru at (0.149, 0.649, 0.500).

---

Q) The following is a DFT calculation (PBE) of a relaxed LiTi2Ru2 crystal.

The space group is I4/mmm (No. 139) and the conventional cell measures 4.023, 4.023 and 11.653 Å, with angles of 90.00, 90.00 and 90.00 degrees. The distinct sites, in fractional coordinates, are Li at (0.000, 0.000, 0.000), Ti at (0.000, 0.000, 0.371) and Ru at (0.000, 0.500, 0.250).

---

R) The following is a DFT calculation (PBE) of a relaxed LiTi2Ru2 crystal.

The space group is P4/mbm (No. 127) and the conventional cell measures 7.216, 7.216 and 3.021 Å, with angles of 90.00, 90.00 and 90.00 degrees. The distinct sites, in fractional coordinates, are Li at (0.000, 0.000, 0.000), Ti at (0.151, 0.349, 0.500) and Ru at (0.145, 0.645, 0.000).

---

Order from most stable to least stable according to the calculation: R), P), Q)

---

P) The following is a DFT calculation (PBE) of a relaxed LiTiRu3 crystal.

The space group is Pm-3m (No. 221) and the conventional cell measures 4.551, 4.551 and 4.551 Å, with angles of 90.00, 90.00 and 90.00 degrees. The distinct sites, in fractional coordinates, are Li at (0.000, 0.000, 0.000), Ti at (0.500, 0.500, 0.500) and Ru at (0.000, 0.500, 0.500).

---

Q) The following is a DFT calculation (PBE) of a relaxed LiTiRu3 crystal.

The space group is Pm-3m (No. 221) and the conventional cell measures 4.108, 4.108 and 4.108 Å, with angles of 90.00, 90.00 and 90.00 degrees. The distinct sites, in fractional coordinates, are Li at (0.000, 0.000, 0.000), Ti at (0.500, 0.500, 0.500) and Ru at (0.000, 0.000, 0.500).

---

Order from most stable to least stable according to the calculation: Q), P)

---

P) The following is a DFT calculation (PBE) of a relaxed Li2TiRu2 crystal.

The space group is P4/mbm (No. 127) and the conventional cell measures 6.435, 6.435 and 3.431 Å, with angles of 90.00, 90.00 and 90.00 degrees. The distinct sites, in fractional coordinates, are Li at (0.155, 0.345, 0.000), Ti at (0.000, 0.000, 0.500) and Ru at (0.144, 0.644, 0.500).

---

Q) The following is a DFT calculation (PBE) of a relaxed Li2TiRu2 crystal.

The space group is I4/mmm (No. 139) and the conventional cell measures 3.124, 3.124 and 14.362 Å, with angles of 90.00, 90.00 and 90.00 degrees. The distinct sites, in fractional coordinates, are Li at (0.000, 0.500, 0.250), Ti at (0.000, 0.000, 0.000) and Ru at (0.000, 0.000, 0.401).

---

Order from most stable to least stable according to the calculation: Q), P)

---

P) The following is a DFT calculation (PBE) of a relaxed LiTl2Ru crystal.

The space group is R-3m (No. 166, hexagonal axes) and the conventional cell measures 3.2486, 3.2486 and 26.7773 Å, with angles of 90.00, 90.00 and 120.00 degrees. The distinct sites, in fractional coordinates, are Li at (0.0000, 0.0000, 0.0000), Tl at (0.0000, 0.0000, 0.2465) and Ru at (0.0000, 0.0000, 0.5000).

---

Q) The following is a DFT calculation (PBE) of a relaxed LiTl2Ru crystal.

The space group is I-4m2 (No. 119) and the conventional cell measures 3.978, 3.978 and 9.548 Å, with angles of 90.00, 90.00 and 90.00 degrees. The distinct sites, in fractional coordinates, are Li at (0.000, 0.000, 0.000), Tl at (0.000, 0.000, 0.500), Tl at (0.000, 0.500, 0.250) and Ru at (0.000, 0.500, 0.750).

---

R) The following is a DFT calculation (PBE) of a relaxed LiTl2Ru crystal.

The space group is F-43m (No. 216) and the conventional cell measures 6.823, 6.823 and 6.823 Å, with angles of 90.00, 90.00 and 90.00 degrees. The distinct sites, in fractional coordinates, are Li at (0.000, 0.000, 0.000), Tl at (0.000, 0.000, 0.500), Tl at (0.250, 0.250, 0.250) and Ru at (0.250, 0.250, 0.750).

---

S) The following is a DFT calculation (PBE) of a relaxed LiTl2Ru crystal.

The space group is C2/m (No. 12) and the conventional cell measures 8.735, 3.176 and 5.911 Å, with angles of 90.00, 99.50 and 90.00 degrees. The distinct sites, in fractional coordinates, are Li at (0.000, 0.000, 0.000), Tl at (0.244, 0.000, 0.740) and Ru at (0.000, 0.500, 0.500).

---

Order from most stable to least stable according to the calculation: Q), P), S), R)

---

P) The following is a DFT calculation (PBE) of a relaxed LiTlRu crystal.

The space group is P3m1 (No. 156) and the conventional cell measures 4.4795, 4.4795 and 2.8648 Å, with angles of 90.00, 90.00 and 120.00 degrees. The distinct sites, in fractional coordinates, are Li at (0.0000, 0.0000, 0.0000), Tl at (0.6667, 0.3333, 0.7949) and Ru at (0.3333, 0.6667, 0.3506).

---

Q) The following is a DFT calculation (PBE) of a relaxed LiTlRu crystal.

The space group is F-43m (No. 216) and the conventional cell measures 6.274, 6.274 and 6.274 Å, with angles of 90.00, 90.00 and 90.00 degrees. The distinct sites, in fractional coordinates, are Li at (0.000, 0.000, 0.000), Tl at (0.000, 0.000, 0.500) and Ru at (0.250, 0.250, 0.250).

---

R) The following is a DFT calculation (PBE) of a relaxed LiTlRu crystal.

The space group is Imm2 (No. 44) and the conventional cell measures 2.975, 4.004 and 8.553 Å, with angles of 90.00, 90.00 and 90.00 degrees. The distinct sites, in fractional coordinates, are Li at (0.000, 0.000, 0.000), Tl at (0.000, 0.000, 0.325) and Ru at (0.000, 0.000, 0.657).

---

Order from most stable to least stable according to the calculation: P), R), Q)

---

P) The following is a DFT calculation (PBE) of a relaxed LiTmRu crystal.

The space group is I4/mmm (No. 139) and the conventional cell measures 3.716, 3.716 and 19.343 Å, with angles of 90.00, 90.00 and 90.00 degrees. The distinct sites, in fractional coordinates, are Li at (0.000, 0.000, 0.207), Tm at (0.000, 0.000, 0.399) and Ru at (0.000, 0.000, 0.064).

---

Q) The following is a DFT calculation (PBE) of a relaxed LiTmRu crystal.

The space group is I4mm (No. 107) and the conventional cell measures 3.443, 3.443 and 8.799 Å, with angles of 90.00, 90.00 and 90.00 degrees. The distinct sites, in fractional coordinates, are Li at (0.000, 0.000, 0.000), Tm at (0.000, 0.000, 0.305) and Ru at (0.000, 0.000, 0.637).

---

Order from most stable to least stable according to the calculation: Q), P)

---

P) The following is a DFT calculation (PBE) of a relaxed LiTm2Ru crystal.

The space group is R-3m (No. 166, hexagonal axes) and the conventional cell measures 3.7972, 3.7972 and 25.6889 Å, with angles of 90.00, 90.00 and 120.00 degrees. The distinct sites, in fractional coordinates, are Li at (0.0000, 0.0000, 0.0000), Tm at (0.0000, 0.0000, 0.2272) and Ru at (0.0000, 0.0000, 0.5000).

---

Q) The following is a DFT calculation (PBE) of a relaxed LiTm2Ru crystal.

The space group is P4/mmm (No. 123) and the conventional cell measures 3.373, 3.373 and 8.028 Å, with angles of 90.00, 90.00 and 90.00 degrees. The distinct sites, in fractional coordinates, are Li at (0.000, 0.000, 0.000), Tm at (0.500, 0.500, 0.298) and Ru at (0.000, 0.000, 0.500).

---

R) The following is a DFT calculation (PBE) of a relaxed LiTm2Ru crystal.

The space group is Fm-3m (No. 225) and the conventional cell measures 6.851, 6.851 and 6.851 Å, with angles of 90.00, 90.00 and 90.00 degrees. The distinct sites, in fractional coordinates, are Li at (0.000, 0.000, 0.000), Tm at (0.250, 0.250, 0.250) and Ru at (0.000, 0.000, 0.500).

---

Order from most stable to least stable according to the calculation: R), Q), P)

---

P) The following is a DFT calculation (PBE) of a relaxed LiVRu crystal.

The space group is Cmcm (No. 63) and the conventional cell measures 4.196, 9.033 and 4.229 Å, with angles of 90.00, 90.00 and 90.00 degrees. The distinct sites, in fractional coordinates, are Li at (0.000, 0.072, 0.250), V at (0.000, 0.254, 0.750) and Ru at (0.000, 0.395, 0.250).

---

Q) The following is a DFT calculation (PBE) of a relaxed LiVRu crystal.

The space group is P3m1 (No. 156) and the conventional cell measures 4.1337, 4.1337 and 2.6572 Å, with angles of 90.00, 90.00 and 120.00 degrees. The distinct sites, in fractional coordinates, are Li at (0.0000, 0.0000, 0.0000), V at (0.6667, 0.3333, 0.6420) and Ru at (0.3333, 0.6667, 0.3637).

---

R) The following is a DFT calculation (PBE) of a relaxed LiVRu crystal.

The space group is I4mm (No. 107) and the conventional cell measures 3.093, 3.093 and 8.487 Å, with angles of 90.00, 90.00 and 90.00 degrees. The distinct sites, in fractional coordinates, are Li at (0.000, 0.000, 0.000), V at (0.000, 0.000, 0.314) and Ru at (0.000, 0.000, 0.676).

---

Order from most stable to least stable according to the calculation: P), Q), R)

---

P) The following is a DFT calculation (PBE) of a relaxed Li2VRu2 crystal.

The space group is P4/mbm (No. 127) and the conventional cell measures 6.271, 6.271 and 3.059 Å, with angles of 90.00, 90.00 and 90.00 degrees. The distinct sites, in fractional coordinates, are Li at (0.107, 0.393, 0.000), V at (0.000, 0.000, 0.000) and Ru at (0.196, 0.696, 0.500).

---

Q) The following is a DFT calculation (PBE) of a relaxed Li2VRu2 crystal.

The space group is I4/mmm (No. 139) and the conventional cell measures 4.330, 4.330 and 6.545 Å, with angles of 90.00, 90.00 and 90.00 degrees. The distinct sites, in fractional coordinates, are Li at (0.000, 0.000, 0.125), V at (0.000, 0.000, 0.500) and Ru at (0.000, 0.500, 0.250).

---

Order from most stable to least stable according to the calculation: P), Q)

---

P) The following is a DFT calculation (PBE) of a relaxed Li2VRu crystal.

The space group is I-42d (No. 122) and the conventional cell measures 3.442, 3.442 and 19.642 Å, with angles of 90.00, 90.00 and 90.00 degrees. The distinct sites, in fractional coordinates, are Li at (0.239, 0.250, 0.125), V at (0.000, 0.000, 0.500) and Ru at (0.000, 0.000, 0.000).

---

Q) The following is a DFT calculation (PBE) of a relaxed Li2VRu crystal.

The space group is Fm-3m (No. 225) and the conventional cell measures 5.921, 5.921 and 5.921 Å, with angles of 90.00, 90.00 and 90.00 degrees. The distinct sites, in fractional coordinates, are Li at (0.250, 0.250, 0.250), V at (0.000, 0.000, 0.000) and Ru at (0.000, 0.000, 0.500).

---

Order from most stable to least stable according to the calculation: P), Q)